A geometry-optimized TbTm2Th3S6 structure, computed with PBE.

a = 6.689 Å, b = 6.689 Å, c = 7.129 Å
α = 98.98°, β = 98.98°, γ = 119.75°
Fractional coordinates of all 12 atoms:
Tb: 0.000 0.000 0.000
Tm: 0.333 0.667 0.000
Tm: 0.667 0.333 0.000
Th: 0.165 0.835 0.500
Th: 0.500 0.500 0.500
Th: 0.835 0.165 0.500
S: 0.077 0.415 0.230
S: 0.262 0.262 0.772
S: 0.415 0.077 0.230
S: 0.585 0.923 0.770
S: 0.738 0.738 0.228
S: 0.923 0.585 0.770

Calculated values
calculated density	8.74	g/cm3
total moment	0.0	μB per cell
E	-6.94	eV per atom
Fermi-level density of states	0.604	states/eV/atom


A geometry-optimized Tb3TmTh4S8 structure, computed with PBE.

a = 8.092 Å, b = 8.092 Å, c = 8.092 Å
α = 57.70°, β = 57.70°, γ = 57.70°
Fractional coordinates of all 16 atoms:
Tb: 0.000 0.500 0.500
Tb: 0.500 0.000 0.500
Tb: 0.500 0.500 0.000
Tm: 0.000 0.000 0.000
Th: 0.000 0.000 0.500
Th: 0.000 0.500 0.000
Th: 0.500 0.000 0.000
Th: 0.500 0.500 0.500
S: 0.243 0.243 0.748
S: 0.243 0.748 0.243
S: 0.252 0.757 0.757
S: 0.255 0.255 0.255
S: 0.745 0.745 0.745
S: 0.748 0.243 0.243
S: 0.757 0.252 0.757
S: 0.757 0.757 0.252

Calculated values
calculated density	8.57	g/cm3
total moment	0.0	μB per cell
E	-6.98	eV per atom
Fermi-level density of states	0.319	states/eV/atom


A geometry-optimized Tb4TmTh3S8 structure, computed with PBE.

a = 7.976 Å, b = 7.976 Å, c = 7.976 Å
α = 59.16°, β = 59.16°, γ = 59.16°
Fractional coordinates of all 16 atoms:
Tb: 0.000 0.000 0.000
Tb: 0.000 0.500 0.500
Tb: 0.500 0.000 0.500
Tb: 0.500 0.500 0.000
Tm: 0.500 0.500 0.500
Th: 0.000 0.000 0.500
Th: 0.000 0.500 0.000
Th: 0.500 0.000 0.000
S: 0.253 0.253 0.739
S: 0.253 0.739 0.253
S: 0.254 0.254 0.254
S: 0.261 0.747 0.747
S: 0.739 0.253 0.253
S: 0.746 0.746 0.746
S: 0.747 0.261 0.747
S: 0.747 0.747 0.261

Calculated values
calculated density	8.29	g/cm3
total moment	0.0	μB per cell
E	-6.81	eV per atom
Fermi-level density of states	0.387	states/eV/atom


A geometry-optimized Tb2TmThS4 structure, computed with PBE.

a = 6.806 Å, b = 3.908 Å, c = 6.879 Å
α = 90.00°, β = 109.13°, γ = 90.00°
Fractional coordinates of all 8 atoms:
Tb: 0.000 0.000 0.000
Tb: 0.000 0.500 0.500
Tm: 0.500 0.000 0.500
Th: 0.500 0.500 0.000
S: 0.245 0.000 0.739
S: 0.252 0.500 0.260
S: 0.748 0.500 0.740
S: 0.755 0.000 0.261

Calculated values
calculated density	8.14	g/cm3
total moment	0.0	μB per cell
E	-6.64	eV per atom
Fermi-level density of states	0.423	states/eV/atom


no.,formation energy without anion corrections (meV/atom)
1,-1890
2,-1913
3,-1922
4,-1928